Entry 1:
## NdTeAu (PBE)

Data for a geometry-optimized NdTeAu structure.

Cell lengths 4.6330, 4.6330, 4.6433 Å; angles 90.00, 90.00, 120.00 degrees
Space group P3m1 (No. 156)
Symmetry-distinct sites (fractional):
Nd: 0.0000 0.0000 0.0000 (multiplicity 1)
Te: 0.6667 0.3333 0.5752 (multiplicity 1)
Au: 0.3333 0.6667 0.2738 (multiplicity 1)

Properties
- E_form (uncorrected): -946 meV per atom
- VASP energy: -4.675 eV per atom
- Total moment: 0.00 μB per cell

***

Entry 2:
## Nd5Te4Au (PBE)

Data for a geometry-optimized Nd5Te4Au structure.

Cell lengths 9.9681, 9.9681, 6.3530 Å; angles 90.00, 90.00, 90.00 degrees
Space group I4/m (No. 87)
Symmetry-distinct sites (fractional):
Nd: 0.0000 0.0000 0.0000 (multiplicity 2)
Nd: 0.0994 0.7127 0.5000 (multiplicity 8)
Te: 0.0933 0.6958 0.0000 (multiplicity 8)
Au: 0.0000 0.0000 0.5000 (multiplicity 2)

Properties
- E_form (uncorrected): -1313 meV per atom
- VASP energy: -5.281 eV per atom
- Total moment: 0.00 μB per cell

***

Entry 3:
## NdTeAu (PBE)

Data for a geometry-optimized NdTeAu structure.

Cell lengths 4.4732, 12.8159, 5.8823 Å; angles 90.00, 90.00, 90.00 degrees
Space group Cmcm (No. 63)
Symmetry-distinct sites (fractional):
Nd: 0.0000 0.1177 0.2500 (multiplicity 4)
Te: 0.0000 0.1911 0.7500 (multiplicity 4)
Au: 0.0000 0.4659 0.2500 (multiplicity 4)

Properties
- E_form (uncorrected): -987 meV per atom
- VASP energy: -4.716 eV per atom
- Total moment: 0.00 μB per cell

***

Entry 4:
## Nd3Te6Au (PBE)

Data for a geometry-optimized Nd3Te6Au structure.

Cell lengths 12.5782, 14.5406, 7.7155 Å; angles 90.00, 90.00, 90.00 degrees
Space group Cmc2_1 (No. 36)
Symmetry-distinct sites (fractional):
Nd: 0.0000 0.0948 0.0000 (multiplicity 4)
Nd: 0.1940 0.4061 0.8660 (multiplicity 8)
Te: 0.0000 0.3268 0.6356 (multiplicity 4)
Te: 0.0000 0.4753 0.1613 (multiplicity 4)
Te: 0.1551 0.0486 0.6856 (multiplicity 8)
Te: 0.1830 0.2307 0.1207 (multiplicity 8)
Au: 0.0000 0.2723 0.2875 (multiplicity 4)

Properties
- E_form (uncorrected): -1021 meV per atom
- VASP energy: -4.664 eV per atom
- Total moment: 0.00 μB per cell